{"formula": "Rb2PaPbS4", "functional": "PBE", "state": "relaxed", "e_form_raw_mev_per_atom": -1258, "magmom_total_mub_per_fu": 1.0, "final_energy_ev_per_atom": -5.214, "lattice": [[-3.0933, -2.8645, -0.0381], [1.6169, -1.6519, -7.0796], [4.3997, -4.8128, 4.6397]], "species": ["Rb", "Rb", "Pa", "Pb", "S", "S", "S", "S"], "fractional_positions": [[0.5000, 0.0000, 0.5000], [0.0000, 0.5000, 0.5000], [0.5000, 0.5000, 0.0000], [0.0000, 0.0000, 0.0000], [0.5000, 0.2619, 0.1986], [0.5000, 0.7381, 0.8014], [0.0000, 0.2890, 0.8068], [0.0000, 0.7110, 0.1932]]}

***

{"formula": "RbPaPbS4", "functional": "PBE", "state": "relaxed", "e_form_raw_mev_per_atom": -1246, "magmom_total_mub_per_fu": 0.0, "final_energy_ev_per_atom": -5.629, "lattice": [[-5.8001, -3.9142, -6.2824], [4.7163, -4.5160, 5.4974], [-6.3340, 4.7634, 2.8799]], "species": ["Rb", "Rb", "Pa", "Pa", "Pb", "Pb", "S", "S", "S", "S", "S", "S", "S", "S"], "fractional_positions": [[0.9029, 0.8058, 0.1529], [0.0971, 0.1942, 0.8471], [0.5000, 0.0000, 0.5000], [0.5000, 0.0000, 0.0000], [0.5000, 0.5000, 0.5000], [0.0000, 0.5000, 0.5000], [0.7237, 0.4474, 0.6935], [0.3139, 0.9908, 0.2454], [0.6770, 0.9908, 0.2454], [0.7237, 0.4474, 0.2540], [0.2763, 0.5526, 0.7460], [0.6861, 0.0092, 0.7546], [0.3230, 0.0092, 0.7546], [0.2763, 0.5526, 0.3065]]}

***

{"formula": "Rb3PaPb2Se6", "functional": "PBE", "state": "relaxed", "e_form_raw_mev_per_atom": -1145, "magmom_total_mub_per_fu": 0.0, "final_energy_ev_per_atom": -4.538, "lattice": [[-5.6424, -4.6465, -2.3685], [3.4051, -1.2533, 6.7728], [-4.5595, 6.6060, 2.0607]], "species": ["Rb", "Rb", "Rb", "Pa", "Pb", "Pb", "Se", "Se", "Se", "Se", "Se", "Se"], "fractional_positions": [[0.1749, 0.8251, 0.5000], [0.8251, 0.1749, 0.5000], [0.5000, 0.5000, 0.5000], [0.0000, 0.0000, 0.0000], [0.3346, 0.6654, 0.0000], [0.6654, 0.3346, 0.0000], [0.9337, 0.6295, 0.8006], [0.7647, 0.7647, 0.2015], [0.0663, 0.3705, 0.1994], [0.6295, 0.9337, 0.8006], [0.2353, 0.2353, 0.7985], [0.3705, 0.0663, 0.1994]]}

***

{"formula": "RbPaPb2Se4", "functional": "PBE", "state": "relaxed", "e_form_raw_mev_per_atom": -787, "magmom_total_mub_per_fu": 1.4, "final_energy_ev_per_atom": -4.764, "lattice": [[-4.9577, -2.1883, -2.8467], [3.5197, -3.9247, -3.1137], [-0.0738, -1.5662, 7.9145]], "species": ["Rb", "Pa", "Pb", "Pb", "Se", "Se", "Se", "Se"], "fractional_positions": [[0.5000, 0.4999, 0.0000], [0.7500, 0.2501, 0.5000], [0.2500, 0.7500, 0.5000], [0.0000, 0.9999, 0.0000], [0.9528, 0.4529, 0.9056], [0.5472, 0.0472, 0.0944], [0.7650, 0.7650, 0.5300], [0.2350, 0.2350, 0.4700]]}

***

{"formula": "Rb2PaPb2Se6", "functional": "PBE", "state": "relaxed", "e_form_raw_mev_per_atom": -1004, "magmom_total_mub_per_fu": 0.0, "final_energy_ev_per_atom": -4.618, "lattice": [[7.3964, 0.0402, 0.0417], [-3.6207, 6.4497, 0.0417], [-1.3746, -2.3628, 8.1589]], "species": ["Rb", "Rb", "Pa", "Pb", "Pb", "Se", "Se", "Se", "Se", "Se", "Se"], "fractional_positions": [[0.8258, 0.1742, 0.0000], [0.1742, 0.8258, 0.0000], [0.0000, 0.0000, 0.5000], [0.3311, 0.6689, 0.5000], [0.6689, 0.3311, 0.5000], [0.7638, 0.7638, 0.6952], [0.0711, 0.3793, 0.6990], [0.2362, 0.2362, 0.3048], [0.3793, 0.0711, 0.6990], [0.9289, 0.6207, 0.3010], [0.6207, 0.9289, 0.3010]]}

***

{"formula": "Rb3PaTe6Pb2", "functional": "PBE", "state": "relaxed", "e_form_raw_mev_per_atom": -862, "magmom_total_mub_per_fu": 0.0, "final_energy_ev_per_atom": -4.084, "lattice": [[8.1468, 0.0023, 0.0003], [-4.0694, 7.0576, 0.0003], [-1.3597, -2.3543, 8.4190]], "species": ["Rb", "Rb", "Rb", "Pa", "Te", "Te", "Te", "Te", "Te", "Te", "Pb", "Pb"], "fractional_positions": [[0.1743, 0.8257, 0.5000], [0.8257, 0.1743, 0.5000], [0.5000, 0.5000, 0.5000], [0.0000, 0.0000, 0.0000], [0.9334, 0.6233, 0.7993], [0.7592, 0.7592, 0.2030], [0.0666, 0.3767, 0.2007], [0.6233, 0.9334, 0.7993], [0.2408, 0.2408, 0.7970], [0.3767, 0.0666, 0.2007], [0.3347, 0.6653, 0.0000], [0.6653, 0.3347, 0.0000]]}